First-principles (PBE) data for a geometry-optimized LiEr4Se6 structure, as listed in Alexandria.

Results
Uncorrected formation energy in eV/atom: -1.64
E in eV per formula unit: -59.163
V in Å³/cell: 1487.4

Lattice parameters (Å, degrees): 11.3229 11.3229 13.3964 90.00 90.00 120.00
Space group R-3c (No. 167, hexagonal axes)
Symmetry-distinct sites (fractional):
Li 0.0000 0.0000 0.0000 (multiplicity 6)
Er 0.0000 0.0000 0.2500 (multiplicity 6)
Er 0.0000 0.3897 0.2500 (multiplicity 18)
Se 0.0288 0.2026 0.3857 (multiplicity 36)